Compound: K2BeNiO4
Source: Alexandria via LeMat-Bulk
Functional: PBE+U
Structure: optimized geometry

- size of the total moment (Bohr magnetons per cell) = 15.82
- final energy (eV per atom) = -4.873
- ρ (g/cm3) = 2.71

Cell lengths 4.688, 11.489, 19.118 Å; angles 90.00, 90.00, 90.00 degrees
Space group Fddd (No. 70, origin choice 2)
One atom of each set of equivalent atoms:
K1 0.125 0.125 0.302 x16
Be1 0.125 0.125 0.625 x8
Ni1 0.125 0.125 0.125 x8
O1 0.107 0.287 0.835 x32